# PBE NpAlPt6, relaxed
# Total DFT energy (no corrections) = -7.230 eV/atom
# M_tot = 2.63 μB per formula unit
# E_form = -0.614 eV per atom
# N(E_F) = 1.77 states/eV per atom
data_NpAlPt6
_chemical_formula_sum 'Np2 Al2 Pt12'
_cell_length_a 8.071
_cell_length_b 8.087
_cell_length_c 4.055
_cell_angle_alpha 90.00
_cell_angle_beta 90.00
_cell_angle_gamma 90.00
_symmetry_space_group_name_H-M 'C m m m'
_symmetry_Int_Tables_number 65
_symmetry_space_group_name_Hall '-C 2 2'
loop_
_atom_site_label
_atom_site_type_symbol
_atom_site_fract_x
_atom_site_fract_y
_atom_site_fract_z
Np1 Np 0.000 0.000 0.000
Al1 Al 0.000 0.500 0.000
Pt1 Pt 0.000 0.255 0.500
Pt2 Pt 0.244 0.500 0.500
Pt3 Pt 0.250 0.250 0.000